[1]
TaVB2 after structural relaxation, computed with PBE-GGA.

Output
- crystal system = cubic

a = 3.9329 Å, b = 3.9329 Å, c = 3.9329 Å
α = 60.00°, β = 60.00°, γ = 60.00°
Last column: nearest neighbours and their distance in Å.
Fractional coordinates of all 4 atoms:
B: 0.2500 0.2500 0.2500  4 Ta 2.41, 4 V 2.41
B: 0.7500 0.7500 0.7500  4 Ta 2.41, 4 V 2.41
Ta: 0.5000 0.5000 0.5000  8 B 2.41
V: 0.0000 0.0000 0.0000  8 B 2.41

[2]
TaVB2 after structural relaxation, computed with PBE-GGA.

Output
- crystal system = trigonal

a = 3.1624 Å, b = 3.1624 Å, c = 5.4124 Å
α = 73.01°, β = 73.01°, γ = 60.00°
Last column: nearest neighbours and their distance in Å.
Fractional coordinates of all 4 atoms:
B: 0.2562 0.2562 0.2314  3 V 2.17, 3 Ta 2.28
B: 0.7438 0.7438 0.7686  3 V 2.17, 3 Ta 2.28
V: 0.0000 0.0000 0.0000  6 B 2.17
Ta: 0.5000 0.5000 0.5000  6 B 2.28

[3]
Ta2VB2 after structural relaxation, computed with PBE-GGA.

Output
- crystal system = tetragonal

a = 6.0203 Å, b = 6.0203 Å, c = 3.2505 Å
α = 90.00°, β = 90.00°, γ = 90.00°
Last column: nearest neighbours and their distance in Å.
Fractional coordinates of all 10 atoms:
B: 0.3906 0.8906 0.0000  1 B 1.86
B: 0.8906 0.6094 0.0000  1 B 1.86
B: 0.6094 0.1094 0.0000  1 B 1.86
B: 0.1094 0.3906 0.0000  1 B 1.86
Ta: 0.1805 0.6805 0.5000  6 B 2.42
Ta: 0.6805 0.8195 0.5000  6 B 2.42
Ta: 0.8195 0.3195 0.5000  6 B 2.42
Ta: 0.3195 0.1805 0.5000  6 B 2.42
V: 0.0000 0.0000 0.0000  4 B 2.44
V: 0.5000 0.5000 0.0000  4 B 2.44

[4]
Ta3VB after structural relaxation, computed with PBE-GGA.

Output
- crystal system = cubic

a = 4.5637 Å, b = 4.5637 Å, c = 4.5637 Å
α = 90.00°, β = 90.00°, γ = 90.00°
Last column: nearest neighbours and their distance in Å.
Fractional coordinates of all 5 atoms:
B: 0.5000 0.5000 0.5000  12 Ta 3.23
Ta: 0.0000 0.5000 0.0000  2 V 2.28
Ta: 0.0000 0.0000 0.5000  2 V 2.28
Ta: 0.5000 0.0000 0.0000  2 V 2.28
V: 0.0000 0.0000 0.0000  6 Ta 2.28

[5]
TaV2B2 after structural relaxation, computed with PBE-GGA.

Output
- crystal system = monoclinic

a = 3.1489 Å, b = 4.2493 Å, c = 8.9254 Å
α = 104.13°, β = 90.00°, γ = 90.00°
Last column: nearest neighbours and their distance in Å.
Fractional coordinates of all 10 atoms:
Ta: 0.2500 0.7437 0.2308  5 B 2.34-2.41
Ta: 0.7500 0.2563 0.7692  5 B 2.34-2.41
V: 0.2500 0.8311 0.9003  5 B 2.19-2.28
V: 0.7500 0.1689 0.0997  5 B 2.19-2.28
V: 0.2500 0.2688 0.5145  3 B 2.14-2.31
V: 0.7500 0.7312 0.4855  3 B 2.14-2.31
B: 0.2500 0.8695 0.6500  4 V 2.14-2.31, 2 Ta 2.34
B: 0.7500 0.1305 0.3500  4 V 2.14-2.31, 2 Ta 2.34
B: 0.2500 0.3827 0.9798  2 B 1.85
B: 0.7500 0.6173 0.0202  2 B 1.85

[6]
TaV3B after structural relaxation, computed with PBE-GGA.

Output
- crystal system = cubic

a = 4.5444 Å, b = 4.5444 Å, c = 4.5444 Å
α = 90.00°, β = 90.00°, γ = 90.00°
Last column: nearest neighbours and their distance in Å.
Fractional coordinates of all 5 atoms:
B: 0.5000 0.5000 0.5000  12 V 3.21
Ta: 0.0000 0.0000 0.0000  6 V 2.27
V: 0.0000 0.5000 0.0000  2 Ta 2.27
V: 0.0000 0.0000 0.5000  2 Ta 2.27
V: 0.5000 0.0000 0.0000  2 Ta 2.27

[7]
TaV2B2 after structural relaxation, computed with PBE-GGA.

Output
- crystal system = tetragonal

a = 5.9476 Å, b = 5.9476 Å, c = 3.0942 Å
α = 90.00°, β = 90.00°, γ = 90.00°
Last column: nearest neighbours and their distance in Å.
Fractional coordinates of all 10 atoms:
B: 0.3930 0.8930 0.0000  1 B 1.80
B: 0.8930 0.6070 0.0000  1 B 1.80
B: 0.6070 0.1070 0.0000  1 B 1.80
B: 0.1070 0.3930 0.0000  1 B 1.80
Ta: 0.0000 0.0000 0.0000  4 B 2.42, 8 V 2.69
Ta: 0.5000 0.5000 0.0000  4 B 2.42, 8 V 2.69
V: 0.1743 0.6743 0.5000  6 B 2.31-2.40
V: 0.6743 0.8257 0.5000  6 B 2.31-2.40
V: 0.8257 0.3257 0.5000  6 B 2.31-2.40
V: 0.3257 0.1743 0.5000  6 B 2.31-2.40

[8]
Ta2VB6 after structural relaxation, computed with PBE-GGA.

Output
- crystal system = hexagonal

a = 3.2649 Å, b = 5.3111 Å, c = 5.3111 Å
α = 120.00°, β = 90.00°, γ = 90.00°
Last column: nearest neighbours and their distance in Å.
Fractional coordinates of all 9 atoms:
Ta: 0.0000 0.3333 0.6667  12 B 2.42
Ta: 0.0000 0.6667 0.3333  12 B 2.42
V: 0.0000 0.0000 0.0000  12 B 2.39
B: 0.5000 0.3294 0.3294  3 B 1.75-1.81
B: 0.5000 0.6706 0.6706  3 B 1.75-1.81
B: 0.5000 0.0000 0.6706  3 B 1.75-1.81
B: 0.5000 0.6706 0.0000  3 B 1.75-1.81
B: 0.5000 0.3294 0.0000  3 B 1.75-1.81
B: 0.5000 0.0000 0.3294  3 B 1.75-1.81

[9]
TaV2B4 after structural relaxation, computed with PBE-GGA.

Output
- crystal system = orthorhombic

a = 3.0377 Å, b = 3.1609 Å, c = 7.0593 Å
α = 102.94°, β = 102.42°, γ = 90.00°
Last column: nearest neighbours and their distance in Å.
Fractional coordinates of all 7 atoms:
B: 0.6402 0.6402 0.2803  2 B 1.79
B: 0.3598 0.3598 0.7197  2 B 1.79
B: 0.0693 0.5693 0.1385  3 B 1.79-1.86
B: 0.9307 0.4307 0.8615  3 B 1.79-1.86
V: 0.8117 0.8117 0.6234  7 B 2.25-2.30
V: 0.1883 0.1883 0.3766  7 B 2.25-2.30
Ta: 0.5000 0.0000 0.0000  12 B 2.38-2.46

[10]
TaVB2 after structural relaxation, computed with PBE-GGA.

Output
- crystal system = orthorhombic

a = 3.1897 Å, b = 3.0704 Å, c = 4.5014 Å
α = 90.00°, β = 110.75°, γ = 90.00°
Last column: nearest neighbours and their distance in Å.
Fractional coordinates of all 4 atoms:
Ta: 0.4331 0.5000 0.4051  7 B 2.35-2.42
V: 0.7247 0.0000 0.9885  7 B 2.30-2.55
B: 0.1456 0.5000 0.8301  2 B 1.83
B: 0.0276 0.0000 0.5943  2 B 1.83

[11]
TaVB2 after structural relaxation, computed with PBE-GGA.

Output
- crystal system = orthorhombic

a = 3.1394 Å, b = 5.5340 Å, c = 9.8842 Å
α = 90.00°, β = 90.00°, γ = 90.00°
Last column: nearest neighbours and their distance in Å.
Fractional coordinates of all 16 atoms:
Ta: 0.7500 0.3808 0.3459  8 B 2.43-2.48
Ta: 0.2500 0.6192 0.6541  8 B 2.43-2.48
Ta: 0.7500 0.8808 0.1541  8 B 2.43-2.48
Ta: 0.2500 0.1192 0.8459  8 B 2.43-2.48
V: 0.7500 0.3626 0.0532  5 B 2.18-2.32, 2 V 2.43
V: 0.2500 0.6374 0.9468  5 B 2.18-2.32, 2 V 2.43
V: 0.7500 0.8626 0.4468  5 B 2.18-2.32, 2 V 2.43
V: 0.2500 0.1374 0.5532  5 B 2.18-2.32, 2 V 2.43
B: 0.2500 0.0355 0.3254  2 B 1.73-1.78
B: 0.7500 0.9645 0.6746  2 B 1.73-1.78
B: 0.2500 0.5355 0.1746  2 B 1.73-1.78
B: 0.7500 0.4645 0.8254  2 B 1.73-1.78
B: 0.2500 0.2136 0.1812  2 B 1.73-1.78
B: 0.7500 0.7864 0.8188  2 B 1.73-1.78
B: 0.2500 0.7136 0.3188  2 B 1.73-1.78
B: 0.7500 0.2864 0.6812  2 B 1.73-1.78

[12]
Ta3V3B4 after structural relaxation, computed with PBE-GGA.

Output
- crystal system = orthorhombic

a = 3.2041 Å, b = 5.9527 Å, c = 5.9527 Å
α = 89.92°, β = 90.00°, γ = 90.00°
Last column: nearest neighbours and their distance in Å.
Fractional coordinates of all 10 atoms:
Ta: 0.5000 0.8217 0.1783  6 B 2.40
Ta: 0.5000 0.3176 0.3206  6 B 2.40-2.41
Ta: 0.5000 0.6794 0.6824  6 B 2.40-2.41
V: 0.0000 0.4943 0.9974  4 B 2.35-2.49
V: 0.0000 0.0026 0.5057  4 B 2.35-2.49
V: 0.5000 0.1790 0.8210  6 B 2.35-2.36
B: 0.0000 0.6093 0.3907  1 B 1.89
B: 0.0000 0.3845 0.6155  1 B 1.89
B: 0.0000 0.8987 0.8870  1 B 1.81
B: 0.0000 0.1130 0.1013  1 B 1.81

[13]
TaV4B4 after structural relaxation, computed with PBE-GGA.

Output
- crystal system = tetragonal

a = 4.2775 Å, b = 6.9180 Å, c = 6.9180 Å
α = 90.00°, β = 90.00°, γ = 90.00°
Last column: nearest neighbours and their distance in Å.
Fractional coordinates of all 18 atoms:
Ta: 0.0000 0.0000 0.0000  4 B 2.38
Ta: 0.5000 0.5000 0.5000  4 B 2.38
V: 0.3694 0.3529 0.8842  5 B 2.18-2.22
V: 0.8694 0.6158 0.8529  5 B 2.18-2.22
V: 0.3694 0.6471 0.1158  5 B 2.18-2.22
V: 0.1306 0.1471 0.6158  5 B 2.18-2.22
V: 0.6306 0.8842 0.6471  5 B 2.18-2.22
V: 0.1306 0.8529 0.3842  5 B 2.18-2.22
V: 0.8694 0.3842 0.1471  5 B 2.18-2.22
V: 0.6306 0.1158 0.3529  5 B 2.18-2.22
B: 0.6324 0.7948 0.3425  1 B 1.74
B: 0.6324 0.2052 0.6575  1 B 1.74
B: 0.1324 0.8425 0.7052  1 B 1.74
B: 0.8676 0.2948 0.8425  1 B 1.74
B: 0.8676 0.7052 0.1575  1 B 1.74
B: 0.3676 0.3425 0.2052  1 B 1.74
B: 0.3676 0.6575 0.7948  1 B 1.74
B: 0.1324 0.1575 0.2948  1 B 1.74

[14]
TaV3B after structural relaxation, computed with PBE-GGA.

Output
- crystal system = cubic

a = 4.0938 Å, b = 4.0938 Å, c = 4.0938 Å
α = 90.00°, β = 90.00°, γ = 90.00°
Last column: nearest neighbours and their distance in Å.
Fractional coordinates of all 5 atoms:
B: 0.0000 0.0000 0.0000  6 V 2.05
Ta: 0.5000 0.5000 0.5000  12 V 2.89
V: 0.0000 0.5000 0.0000  2 B 2.05
V: 0.0000 0.0000 0.5000  2 B 2.05
V: 0.5000 0.0000 0.0000  2 B 2.05

[15]
Ta2BW2 after structural relaxation, computed with PBE-GGA.

Output
- crystal system = tetragonal

a = 5.8230 Å, b = 5.8230 Å, c = 4.7385 Å
α = 90.00°, β = 90.00°, γ = 90.00°
Last column: nearest neighbours and their distance in Å.
Fractional coordinates of all 10 atoms:
B: 0.0000 0.0000 0.0000  4 W 2.19
B: 0.5000 0.5000 0.0000  4 W 2.19
W: 0.3396 0.8396 0.0000  2 B 2.19
W: 0.8396 0.6604 0.0000  2 B 2.19
W: 0.6604 0.1604 0.0000  2 B 2.19
W: 0.1604 0.3396 0.0000  2 B 2.19
Ta: 0.1738 0.6738 0.5000  2 W 2.73, 5 Ta 2.86-3.04
Ta: 0.6738 0.8262 0.5000  2 W 2.73, 5 Ta 2.86-3.04
Ta: 0.8262 0.3262 0.5000  2 W 2.73, 5 Ta 2.86-3.04
Ta: 0.3262 0.1738 0.5000  2 W 2.73, 5 Ta 2.86-3.04

[16]
Ta5B2W2 after structural relaxation, computed with PBE-GGA.

Output
- crystal system = orthorhombic

a = 6.1632 Å, b = 6.1346 Å, c = 7.8285 Å
α = 90.00°, β = 66.82°, γ = 90.00°
Last column: nearest neighbours and their distance in Å.
Fractional coordinates of all 18 atoms:
Ta: 0.0000 0.0000 0.0000  4 B 2.51-2.52, 4 Ta 2.76
Ta: 0.5000 0.5000 0.0000  4 B 2.51-2.52, 4 Ta 2.76
Ta: 0.4316 0.1911 0.7694  3 B 2.46-2.50, 1 W 2.72
Ta: 0.7990 0.8089 0.7694  3 B 2.46-2.50, 1 W 2.72
Ta: 0.2990 0.6911 0.7694  3 B 2.46-2.50, 1 W 2.72
Ta: 0.9316 0.3089 0.7694  3 B 2.46-2.50, 1 W 2.72
Ta: 0.5684 0.8089 0.2306  3 B 2.46-2.50, 1 W 2.72
Ta: 0.2010 0.1911 0.2306  3 B 2.46-2.50, 1 W 2.72
Ta: 0.7010 0.3089 0.2306  3 B 2.46-2.50, 1 W 2.72
Ta: 0.0684 0.6911 0.2306  3 B 2.46-2.50, 1 W 2.72
B: 0.1055 0.3974 0.0000  1 B 1.81
B: 0.8945 0.6026 0.0000  1 B 1.81
B: 0.3945 0.8974 0.0000  1 B 1.81
B: 0.6055 0.1026 0.0000  1 B 1.81
W: 0.2334 0.0000 0.5331  6 Ta 2.72-2.84
W: 0.7334 0.5000 0.5331  6 Ta 2.72-2.84
W: 0.7666 0.0000 0.4669  6 Ta 2.72-2.84
W: 0.2666 0.5000 0.4669  6 Ta 2.72-2.84

[17]
TaBW2 after structural relaxation, computed with PBE-GGA.

Output
- crystal system = tetragonal

a = 7.2574 Å, b = 7.2574 Å, c = 5.6306 Å
α = 49.87°, β = 49.87°, γ = 90.00°
Last column: nearest neighbours and their distance in Å.
Fractional coordinates of all 8 atoms:
B: 0.5000 0.5000 0.0000  4 W 2.20, 2 Ta 2.32
B: 0.2500 0.7500 0.5000  4 W 2.20, 2 Ta 2.32
W: 0.5275 0.1250 0.2500  2 B 2.20
W: 0.2225 0.6250 0.2500  2 B 2.20
W: 0.3750 0.4725 0.7500  2 B 2.20
W: 0.8750 0.7775 0.7500  2 B 2.20
Ta: 0.0000 0.0000 0.0000  2 B 2.32
Ta: 0.7500 0.2500 0.5000  2 B 2.32

[18]
Ta2BW after structural relaxation, computed with PBE-GGA.

Output
- crystal system = tetragonal

a = 7.5140 Å, b = 7.5140 Å, c = 5.7804 Å
α = 49.46°, β = 49.46°, γ = 90.00°
Last column: nearest neighbours and their distance in Å.
Fractional coordinates of all 8 atoms:
B: 0.5000 0.5000 0.0000  4 Ta 2.24, 2 W 2.28
B: 0.2500 0.7500 0.5000  4 Ta 2.24, 2 W 2.28
W: 0.0000 0.0000 0.0000  2 B 2.28
W: 0.7500 0.2500 0.5000  2 B 2.28
Ta: 0.5177 0.1250 0.2500  2 B 2.24
Ta: 0.2323 0.6250 0.2500  2 B 2.24
Ta: 0.3750 0.4823 0.7500  2 B 2.24
Ta: 0.8750 0.7677 0.7500  2 B 2.24

[19]
TaB2W2 after structural relaxation, computed with PBE-GGA.

Output
- crystal system = tetragonal

a = 6.1416 Å, b = 6.1416 Å, c = 3.1915 Å
α = 90.00°, β = 90.00°, γ = 90.00°
Last column: nearest neighbours and their distance in Å.
Fractional coordinates of all 10 atoms:
B: 0.3871 0.8871 0.0000  1 B 1.96
B: 0.8871 0.6129 0.0000  1 B 1.96
B: 0.6129 0.1129 0.0000  1 B 1.96
B: 0.1129 0.3871 0.0000  1 B 1.96
W: 0.1703 0.6703 0.5000  6 B 2.39-2.47
W: 0.6703 0.8297 0.5000  6 B 2.39-2.47
W: 0.8297 0.3297 0.5000  6 B 2.39-2.47
W: 0.3297 0.1703 0.5000  6 B 2.39-2.47
Ta: 0.0000 0.0000 0.0000  4 B 2.48
Ta: 0.5000 0.5000 0.0000  4 B 2.48

[20]
TaB3W after structural relaxation, computed with PBE-GGA.

Output
- crystal system = orthorhombic

a = 3.1102 Å, b = 3.2886 Å, c = 9.7779 Å
α = 99.68°, β = 90.00°, γ = 90.00°
Last column: nearest neighbours and their distance in Å.
Fractional coordinates of all 10 atoms:
Ta: 0.2500 0.7987 0.5974  7 B 2.35-2.56
Ta: 0.7500 0.2013 0.4026  7 B 2.35-2.56
B: 0.2500 0.3856 0.7711  3 B 1.78-1.84
B: 0.7500 0.6144 0.2289  3 B 1.78-1.84
B: 0.2500 0.4777 0.9554  3 B 1.78
B: 0.7500 0.5223 0.0446  3 B 1.78
B: 0.7500 0.3342 0.6684  2 B 1.84
B: 0.2500 0.6658 0.3316  2 B 1.84
W: 0.2500 0.0702 0.1403  12 B 2.42-2.47
W: 0.7500 0.9298 0.8597  12 B 2.42-2.47

[21]
TaBW after structural relaxation, computed with PBE-GGA.

Output
- crystal system = orthorhombic

a = 3.2733 Å, b = 3.1835 Å, c = 7.6755 Å
α = 90.00°, β = 102.31°, γ = 90.00°
Last column: nearest neighbours and their distance in Å.
Fractional coordinates of all 6 atoms:
Ta: 0.5857 0.7500 0.1714  6 B 2.41-2.44
Ta: 0.4143 0.2500 0.8286  6 B 2.41-2.44
B: 0.9652 0.7500 0.9304  2 B 1.90
B: 0.0348 0.2500 0.0696  2 B 1.90
W: 0.7998 0.7500 0.5995  1 B 2.48, 4 W 2.73
W: 0.2002 0.2500 0.4005  1 B 2.48, 4 W 2.73

[22]
TaBW after structural relaxation, computed with PBE-GGA.

Output
- crystal system = orthorhombic

a = 4.6776 Å, b = 4.6776 Å, c = 4.7070 Å
α = 105.72°, β = 105.72°, γ = 117.04°
Last column: nearest neighbours and their distance in Å.
Fractional coordinates of all 6 atoms:
Ta: 0.3287 0.6713 0.0000  4 B 2.44
Ta: 0.6713 0.3287 0.0000  4 B 2.44
B: 0.7500 0.2500 0.5000  4 W 2.42, 4 Ta 2.44, 2 B 2.44
B: 0.2500 0.7500 0.5000  4 W 2.42, 4 Ta 2.44, 2 B 2.44
W: 0.1710 0.1710 0.3421  4 B 2.42
W: 0.8290 0.8290 0.6579  4 B 2.42

[23]
TaB3W after structural relaxation, computed with PBE-GGA.

Output
- crystal system = cubic

a = 4.0356 Å, b = 4.0356 Å, c = 4.0356 Å
α = 90.00°, β = 90.00°, γ = 90.00°
Last column: nearest neighbours and their distance in Å.
Fractional coordinates of all 5 atoms:
B: 0.0000 0.5000 0.0000  2 W 2.02
B: 0.0000 0.0000 0.5000  2 W 2.02
B: 0.5000 0.0000 0.0000  2 W 2.02
W: 0.0000 0.0000 0.0000  6 B 2.02
Ta: 0.5000 0.5000 0.5000  12 B 2.85

[24]
TaB2W4 after structural relaxation, computed with PBE-GGA.

Output
- crystal system = orthorhombic

a = 3.2272 Å, b = 4.2085 Å, c = 7.4301 Å
α = 106.45°, β = 90.00°, γ = 90.00°
Last column: nearest neighbours and their distance in Å.
Fractional coordinates of all 7 atoms:
Ta: 0.0000 0.0000 0.0000  8 B 2.78, 4 W 2.85
B: 0.5000 0.5594 0.1188  1 B 1.69
B: 0.5000 0.4406 0.8812  1 B 1.69
W: 0.5000 0.8349 0.6699  2 B 2.59, 6 W 2.65-2.82, 2 Ta 2.85
W: 0.0000 0.6725 0.3450  2 B 2.28
W: 0.5000 0.1651 0.3301  2 B 2.59, 6 W 2.65-2.82, 2 Ta 2.85
W: 0.0000 0.3275 0.6550  2 B 2.28

ΔH_f (0 K) for the records above, in order: 174 -507 -744 1925 -357 2308 -596 -667 -797 -806 -496 -714 -270 39 376 -153 247 370 -364 -401 -546 -423 1225 -17 meV per atom
Spin magnetization for the records above, in order: 0.00 0.00 0.00 0.00 0.00 0.00 0.00 0.38 0.00 0.00 0.00 0.00 0.00 0.00 0.00 0.00 0.00 0.00 0.00 0.00 0.00 0.00 0.00 0.00 μB per cell